The following is a DFT calculation (PBE) of a relaxed TaCd4Cl crystal.

Structure (extended XYZ):
```
6
Lattice="0.000 4.068 4.068 4.068 0.000 4.068 4.068 4.068 0.000" Properties=species:S:1:pos:R:3 pbc="T T T"
Ta 0.000 0.000 0.000
Cd 5.091 3.044 3.044
Cd 3.044 5.091 3.044
Cd 3.044 3.044 5.091
Cd 5.091 5.091 5.091
Cl 2.034 2.034 2.034
```

Computed properties:
* Fermi-level density of states: 2.09 states/eV per cell
* calculated volume: 22.433 Å³ per atom
* space-group type: No. 216
* formation energy without anion corrections: 0.549 eV per atom